Entry from the Alexandria database: a relaxed LiNiPd2F8 crystal (GGA+U).

a b c (Å): 5.9464 5.9464 5.9464
angles (deg): 113.14 113.14 102.36
Last column: nearest neighbours and their distance in Å.
Fractional positions:
1 Li 0.0000 0.0000 0.0000  4 F 2.05
2 Ni 0.7500 0.2500 0.5000  4 F 2.00
3 Pd 0.2500 0.7500 0.5000  4 F 2.01
4 Pd 0.5000 0.5000 0.0000  4 F 2.07
5 F 0.0389 0.3491 0.3103  1 Pd 2.01, 1 Li 2.05
6 F 0.0389 0.7286 0.6897  1 Pd 2.01, 1 Li 2.05
7 F 0.0854 0.2823 0.8031  1 Ni 2.00, 1 Pd 2.07
8 F 0.2714 0.9611 0.3103  1 Pd 2.01, 1 Li 2.05
9 F 0.4792 0.2823 0.1969  1 Ni 2.00, 1 Pd 2.07
10 F 0.6509 0.9611 0.6897  1 Pd 2.01, 1 Li 2.05
11 F 0.7177 0.5208 0.8031  1 Ni 2.00, 1 Pd 2.07
12 F 0.7177 0.9146 0.1969  1 Ni 2.00, 1 Pd 2.07

Results
Fermi-level density of states: 0.87 states/eV per atom
Total magnetization: 0.445 μB per atom
Energy: -46.94 eV per cell